[1]
TcHg2P | PBE | optimized geometry

* DOS at the Fermi energy: 3.2 states/eV per cell
* ΔH_f (0 K): 0.71 eV per atom
* total DFT energy (no corrections): -3.3870 eV/atom

a b c (Å): 3.181 5.489 4.397
angles (deg): 90.00 93.17 90.00
Sites, in units of the cell vectors:
Tc (0.000, 0.000, 0.000)
Hg (0.250, 0.500, 0.249)
Hg (0.750, 0.500, 0.751)
P (0.500, 0.000, 0.500)

=====

[2]
HfZnPtPb2 | PBE | optimized geometry

* DOS at the Fermi energy: 4.8 states/eV per cell
* ΔH_f (0 K): 0.49 eV per atom
* total DFT energy (no corrections): -4.4440 eV/atom

a b c (Å): 5.361 5.361 5.150
angles (deg): 90.00 90.00 90.00
Sites, in units of the cell vectors:
Hf (0.000, 0.000, 0.000)
Zn (0.500, 0.500, 0.000)
Pt (0.000, 0.000, 0.500)
Pb (0.000, 0.500, 0.500)
Pb (0.500, 0.000, 0.500)

=====

[3]
Ba2Cd2Ge | PBE | optimized geometry

* DOS at the Fermi energy: 5.8 states/eV per cell
* ΔH_f (0 K): -0.22 eV per atom
* total DFT energy (no corrections): -2.2823 eV/atom
* energy above the most stable polymorph in this dataset: 166 meV per atom

a b c (Å): 7.859 7.859 5.375
angles (deg): 90.00 90.00 90.00
Sites, in units of the cell vectors:
Ba (0.186, 0.314, 0.000)
Ba (0.314, 0.814, 0.000)
Ba (0.686, 0.186, 0.000)
Ba (0.814, 0.686, 0.000)
Cd (0.127, 0.627, 0.500)
Cd (0.373, 0.127, 0.500)
Cd (0.627, 0.873, 0.500)
Cd (0.873, 0.373, 0.500)
Ge (0.000, 0.000, 0.500)
Ge (0.500, 0.500, 0.500)

=====

[4]
PaGaAu | PBE | optimized geometry

* DOS at the Fermi energy: 3.8 states/eV per cell
* ΔH_f (0 K): -0.44 eV per atom
* total DFT energy (no corrections): -5.7060 eV/atom

a b c (Å): 4.631 4.631 3.346
angles (deg): 90.00 90.00 120.00
Sites, in units of the cell vectors:
Pa (0.000, 0.000, 0.000)
Ga (0.333, 0.667, 0.500)
Au (0.667, 0.333, 0.500)

=====

no.,spin magnetization (μB/f.u.)
1,1.052
2,0.000
3,0.000
4,0.344